Entry from the Alexandria database: crystalline ZrCuTc at its relaxed geometry (GGA-PBE).

density	8.72	g/cm³
DOS at the Fermi energy	3.668	states/eV per cell
energy of formation from the pure elements	-162	meV per atom
relative energy among the computed polymorphs	43	meV per atom
space-group type	P6_3/mmc (194)

a b c (Å): 4.547 4.547 5.375
angles (deg): 90.00 90.00 120.00
Positions (direct):
1 Cu 0.333 0.667 0.750
2 Cu 0.667 0.333 0.250
3 Tc 0.000 0.000 0.000
4 Tc 0.000 0.000 0.500
5 Zr 0.333 0.667 0.250
6 Zr 0.667 0.333 0.750